A plane-wave DFT calculation with PBE was carried out for a geometry-optimized ScAgSe2 structure.

Summary:
Theoretical density in g/cm3: 4.61
Total magnetization in μB/atom: 0.000
E_form (uncorrected) in meV per atom: -1004
N(E_F) in states/eV/cell: 0.0

Cell lengths 4.4437, 5.6763, 4.4335 Å; angles 90.00, 90.00, 90.00 degrees
Closest atoms and distances in Å follow each position.
Fractional coordinates of all 4 atoms:
Se 0.0000 0.8804 0.8750  2 Sc 2.65, 2 Ag 2.65
Se 0.5000 0.3697 0.3750  2 Ag 2.65, 2 Sc 2.65
Ag 0.0000 0.6241 0.3750  4 Se 2.65
Sc 0.5000 0.6257 0.8750  4 Se 2.65